# 1
First-principles (GGA-PBE) data for a relaxed structure of VCo2TcH, as listed in Alexandria.

The structure belongs to space group P4/mmm (No. 123); the cell edges are 3.5893, 3.5893 and 3.8647 Å and the angles 90.00°, 90.00° and 90.00°. Symmetry generates all atoms from V at (0.0000, 0.0000, 0.0000), Co at (0.0000, 0.5000, 0.5000), Tc at (0.5000, 0.5000, 0.0000) and H at (0.0000, 0.0000, 0.5000).

As for the excess energy over the best structure of this formula in the dataset: 0.000 eV/atom.



# 2
First-principles (GGA-PBE) data for a relaxed structure of NaMg2H8Ir, as listed in Alexandria.

The structure belongs to space group P-3m1 (No. 164); the cell edges are 4.5973, 4.5973 and 6.5350 Å and the angles 90.00°, 90.00° and 120.00°. Symmetry generates all atoms from Na at (0.0000, 0.0000, 0.0000), Mg at (0.3333, 0.6667, 0.3405), H at (0.1681, 0.3361, 0.6533), H at (0.3333, 0.6667, 0.0677) and Ir at (0.0000, 0.0000, 0.5000).

The calculation puts the calculated total energy at -3.641 eV/atom.



# 3
First-principles (GGA-PBE) data for a relaxed structure of Pr2ErP3Rh12, as listed in Alexandria.

The structure belongs to space group R-3m (No. 166, hexagonal axes); the cell edges are 9.0419, 9.0419 and 12.9236 Å and the angles 90.00°, 90.00° and 120.00°. Symmetry generates all atoms from Pr at (0.0000, 0.0000, 0.1260), Er at (0.0000, 0.0000, 0.5000), P at (0.0000, 0.5000, 0.0000), Rh at (0.0066, 0.5033, 0.8273) and Rh at (0.0327, 0.5163, 0.3799).

For the formation enthalpy at 0 K, the calculation gives -5.838 eV per formula unit.



# 4
First-principles (GGA-PBE) data for a relaxed structure of LiTmZrSn, as listed in Alexandria.

The structure belongs to space group F-43m (No. 216); the cell edges are 7.0869, 7.0869 and 7.0869 Å and the angles 90.00°, 90.00° and 90.00°. Symmetry generates all atoms from Li at (0.0000, 0.0000, 0.0000), Tm at (0.2500, 0.2500, 0.7500), Zr at (0.2500, 0.2500, 0.2500) and Sn at (0.0000, 0.0000, 0.5000).

For the formation enthalpy at 0 K, the calculation gives -1.036 eV per formula unit.



# 5
First-principles (GGA-PBE) data for a relaxed structure of MgSbCl5, as listed in Alexandria.

The structure belongs to space group P2_1/c (No. 14); the cell edges are 9.1223, 13.2616 and 8.3088 Å and the angles 90.00°, 102.81° and 90.00°. Symmetry generates all atoms from Mg at (0.1060, 0.2485, 0.1533), Sb at (0.4933, 0.5048, 0.7481), Cl at (0.0288, 0.7477, 0.1294), Cl at (0.2253, 0.0880, 0.1807), Cl at (0.2369, 0.0951, 0.6869), Cl at (0.3990, 0.6187, 0.9324) and Cl at (0.3998, 0.6191, 0.5184).

The calculation puts the calculated total energy at -3.360 eV/atom.



# 6
First-principles (GGA-PBE) data for a relaxed structure of CaPm5Ga3, as listed in Alexandria.

The structure belongs to space group P6_3/mcm (No. 193); the cell edges are 9.1746, 9.1746 and 6.7532 Å and the angles 90.00°, 90.00° and 120.00°. Symmetry generates all atoms from Ca at (0.0000, 0.0000, 0.0000), Pm at (0.0000, 0.3338, 0.2500), Pm at (0.3333, 0.6667, 0.0000) and Ga at (0.0000, 0.3327, 0.7500).

For the formation enthalpy at 0 K, the calculation gives -3.492 eV per formula unit.



# 7
First-principles (GGA-PBE) data for a relaxed structure of Pr8PdS3I4, as listed in Alexandria.

The structure belongs to space group R-3m (No. 166, hexagonal axes); the cell edges are 8.4288, 8.4288 and 23.4458 Å and the angles 90.00°, 90.00° and 120.00°. Symmetry generates all atoms from Pr at (0.0000, 0.0000, 0.2288), Pr at (0.0092, 0.5046, 0.7690), Pd at (0.0000, 0.0000, 0.5000), S at (0.0000, 0.5000, 0.5000), I at (0.0000, 0.0000, 0.0000) and I at (0.0000, 0.5000, 0.0000).

The calculation puts the calculated total energy at -5.182 eV/atom.



# 8
First-principles (GGA-PBE) data for a relaxed structure of AsPdN2, as listed in Alexandria.

The structure belongs to space group R-3m (No. 166, hexagonal axes); the cell edges are 2.9359, 2.9359 and 18.4307 Å and the angles 90.00°, 90.00° and 120.00°. Symmetry generates all atoms from As at (0.0000, 0.0000, 0.0000), Pd at (0.0000, 0.0000, 0.5000) and N at (0.0000, 0.0000, 0.3896).

The calculation puts the calculated total energy at -6.146 eV/atom.